Computed, not measured: Ac2Tb6Y after structural relaxation at the PBE level of DFT.

Summary:
Fermi-level density of states: 16.18 states/eV/cell
total DFT energy (no corrections): -0.337 Ry/atom
ΔE_f: 133 meV/atom
space group: No. 71

Cell: 3.6282 9.9220 9.9220 Å, 65.51 79.47 79.47°
Last column: nearest neighbours and their distance in Å.
Element x y z (fractional)
Tb  0.8220  0.3426  0.0130  1 Y 3.39, 7 Tb 3.49-3.70, 3 Ac 3.62-3.75
Ac  0.1519  0.3473  0.3473  10 Tb 3.62-3.78, 2 Ac 3.63
Tb  0.1780  0.9870  0.6574  1 Y 3.39, 7 Tb 3.49-3.70, 3 Ac 3.62-3.75
Tb  0.5000  0.7043  0.2957  6 Tb 3.63-3.70, 2 Y 3.66, 4 Ac 3.78
Tb  0.8220  0.0130  0.3426  1 Y 3.39, 7 Tb 3.49-3.70, 3 Ac 3.62-3.75
Ac  0.8481  0.6527  0.6527  10 Tb 3.62-3.78, 2 Ac 3.63
Y  0.0000  0.0000  0.0000  8 Tb 3.39-3.66, 2 Y 3.63
Tb  0.5000  0.2957  0.7043  6 Tb 3.63-3.70, 2 Y 3.66, 4 Ac 3.78
Tb  0.1780  0.6574  0.9870  1 Y 3.39, 7 Tb 3.49-3.70, 3 Ac 3.62-3.75

Computed, not measured: Ac8Tb3Y2 after structural relaxation at the PBE level of DFT.

Summary:
Fermi-level density of states: 21.08 states/eV/cell
total DFT energy (no corrections): -0.322 Ry/atom
ΔE_f: 210 meV/atom
space group: No. 12

Cell: 6.3537 8.6104 10.7504 Å, 66.39 82.35 90.00°
Last column: nearest neighbours and their distance in Å.
Element x y z (fractional)
Ac  0.7698  0.5383  0.9235  2 Tb 3.32, 1 Y 3.42, 2 Ac 3.48-3.54
Y  0.7307  0.7095  0.5810  3 Ac 3.42-3.72
Tb  0.0000  0.0000  0.0000  4 Tb 3.51, 4 Ac 3.81
Ac  0.7812  0.1327  0.2883  2 Tb 3.68-3.81, 3 Y 3.72-4.02, 6 Ac 3.80-4.09
Ac  0.2735  0.8254  0.3493  3 Tb 3.83-4.07, 2 Y 3.85-3.95, 6 Ac 3.99-4.05
Y  0.2693  0.2905  0.4190  3 Ac 3.42-3.72
Ac  0.7812  0.5790  0.2883  2 Tb 3.68-3.81, 3 Y 3.72-4.02, 6 Ac 3.80-4.09
Ac  0.2188  0.4210  0.7117  2 Tb 3.68-3.81, 3 Y 3.72-4.02, 6 Ac 3.80-4.09
Tb  0.5000  0.1735  0.0000  1 Tb 2.99, 2 Ac 3.32
Ac  0.2188  0.8673  0.7117  2 Tb 3.68-3.81, 3 Y 3.72-4.02, 6 Ac 3.80-4.09
Ac  0.7265  0.1746  0.6507  3 Tb 3.83-4.07, 2 Y 3.85-3.95, 6 Ac 3.99-4.05
Ac  0.2302  0.4617  0.0765  2 Tb 3.32, 1 Y 3.42, 2 Ac 3.48-3.54
Tb  0.5000  0.8265  0.0000  1 Tb 2.99, 2 Ac 3.32

Computed, not measured: AcTb10Y4 after structural relaxation at the PBE level of DFT.

Summary:
Fermi-level density of states: 30.27 states/eV/cell
total DFT energy (no corrections): -0.335 Ry/atom
ΔE_f: 527 meV/atom
space group: No. 87

Cell: 6.6998 9.6521 9.6521 Å, 83.08 69.69 69.69°
Last column: nearest neighbours and their distance in Å.
Element x y z (fractional)
Tb  0.4591  0.1623  0.4208  4 Tb 3.14-3.36, 3 Y 3.35-3.46
Tb  0.2500  0.5000  0.5000  6 Tb 3.14-3.35
Tb  0.0421  0.8377  0.5792  4 Tb 3.14-3.36, 3 Y 3.35-3.46
Tb  0.9579  0.1623  0.4208  4 Tb 3.14-3.36, 3 Y 3.35-3.46
Y  0.5674  0.1127  0.7524  6 Tb 3.35-3.46, 2 Y 3.48
Y  0.4326  0.8873  0.2476  6 Tb 3.35-3.46, 2 Y 3.48
Ac  0.0000  0.0000  0.0000  8 Y 4.16, 8 Tb 4.41
Tb  0.3786  0.5792  0.1623  4 Tb 3.14-3.36, 3 Y 3.35-3.46
Y  0.3198  0.2476  0.1127  6 Tb 3.35-3.46, 2 Y 3.48
Y  0.6802  0.7524  0.8873  6 Tb 3.35-3.46, 2 Y 3.48
Tb  0.5409  0.8377  0.5792  4 Tb 3.14-3.36, 3 Y 3.35-3.46
Tb  0.8799  0.5792  0.1623  4 Tb 3.14-3.36, 3 Y 3.35-3.46
Tb  0.7500  0.5000  0.5000  6 Tb 3.14-3.35
Tb  0.1201  0.4208  0.8377  4 Tb 3.14-3.36, 3 Y 3.35-3.46
Tb  0.6214  0.4208  0.8377  4 Tb 3.14-3.36, 3 Y 3.35-3.46

Computed, not measured: AcTb5Y4 after structural relaxation at the PBE level of DFT.

Summary:
Fermi-level density of states: 16.13 states/eV/cell
ΔE to the lowest computed polymorph: 118 kJ/mol of formula units
total DFT energy (no corrections): -0.366 Ry/atom
ΔE_f: 329 meV/atom
space group: No. 79

Cell: 6.4975 7.9673 7.9673 Å, 80.43 65.94 65.94°
Last column: nearest neighbours and their distance in Å.
Element x y z (fractional)
Y  0.8031  0.7036  0.5955  3 Tb 3.22-3.52, 1 Y 3.27
Tb  0.6964  0.0000  0.0000  1 Ac 3.02, 4 Tb 3.29
Tb  0.0884  0.6168  0.0925  3 Y 3.22-3.52, 1 Tb 3.29, 1 Ac 3.42
Y  0.3986  0.4045  0.7036  3 Tb 3.22-3.52, 1 Y 3.27
Tb  0.7977  0.3832  0.9075  3 Y 3.22-3.52, 1 Tb 3.29, 1 Ac 3.42
Y  0.5068  0.5955  0.2964  3 Tb 3.22-3.52, 1 Y 3.27
Ac  0.2309  0.0000  0.0000  1 Tb 3.02
Y  0.1023  0.2964  0.4045  3 Tb 3.22-3.52, 1 Y 3.27
Tb  0.1809  0.9075  0.6168  3 Y 3.22-3.52, 1 Tb 3.29, 1 Ac 3.42
Tb  0.7052  0.0925  0.3832  3 Y 3.22-3.52, 1 Tb 3.29, 1 Ac 3.42

Computed, not measured: AcTb3Y7 after structural relaxation at the PBE level of DFT.

Summary:
Fermi-level density of states: 18.71 states/eV/cell
ΔE to the lowest computed polymorph: 76 kJ/mol of formula units
total DFT energy (no corrections): -0.407 Ry/atom
ΔE_f: 215 meV/atom
space group: No. 156

Cell: 8.7312 7.1538 7.1538 Å, 120.00 90.00 90.00°
Last column: nearest neighbours and their distance in Å.
Element x y z (fractional)
Y  0.4485  0.8322  0.6644  7 Y 3.55-3.60, 2 Ac 3.58, 2 Tb 3.60
Y  0.1140  0.6666  0.8333  2 Tb 3.53, 8 Y 3.58, 1 Ac 3.58
Y  0.4485  0.8322  0.1678  7 Y 3.55-3.60, 2 Ac 3.58, 2 Tb 3.60
Y  0.4485  0.3356  0.1678  7 Y 3.55-3.60, 2 Ac 3.58, 2 Tb 3.60
Tb  0.7872  0.5016  0.0032  5 Y 3.53-3.60, 4 Tb 3.54-3.61, 1 Ac 3.61
Y  0.1140  0.1667  0.3334  2 Tb 3.53, 8 Y 3.58, 1 Ac 3.58
Y  0.1140  0.1667  0.8333  2 Tb 3.53, 8 Y 3.58, 1 Ac 3.58
Tb  0.7872  0.5016  0.4984  5 Y 3.53-3.60, 4 Tb 3.54-3.61, 1 Ac 3.61
Tb  0.7872  0.9968  0.4984  5 Y 3.53-3.60, 4 Tb 3.54-3.61, 1 Ac 3.61
Ac  0.4493  0.3333  0.6667  9 Y 3.58, 3 Tb 3.61
Y  0.1164  0.6667  0.3333  3 Tb 3.53, 9 Y 3.55-3.58

Computed, not measured: AcTb12Y5 after structural relaxation at the PBE level of DFT.

Summary:
Fermi-level density of states: 26.17 states/eV/cell
total DFT energy (no corrections): -0.374 Ry/atom
ΔE_f: 28 meV/atom
space group: No. 65

Cell: 15.2258 10.7702 5.0699 Å, 90.00 90.00 45.02°
Last column: nearest neighbours and their distance in Å.
Element x y z (fractional)
Tb  0.1717  0.0000  0.5001  8 Tb 3.53-3.61, 2 Ac 3.64, 2 Y 3.69
Tb  0.8325  0.6680  0.5000  8 Tb 3.53-3.61, 4 Y 3.55-3.59
Y  0.8291  0.3418  0.5000  2 Y 3.55, 8 Tb 3.55-3.69, 2 Ac 3.63
Tb  0.3332  0.0001  0.0001  8 Tb 3.53-3.58, 4 Y 3.58-3.59
Tb  0.1675  0.3320  0.5000  8 Tb 3.53-3.61, 4 Y 3.55-3.59
Y  0.6661  0.6678  0.0000  4 Y 3.55-3.58, 8 Tb 3.58-3.61
Tb  0.6619  0.3372  0.0000  8 Tb 3.49-3.61, 3 Y 3.61-3.62, 1 Ac 3.64
Tb  0.6668  0.9999  0.9999  8 Tb 3.53-3.58, 4 Y 3.58-3.59
Tb  0.9991  0.6629  0.0000  8 Tb 3.49-3.61, 3 Y 3.61-3.62, 1 Ac 3.64
Tb  0.3381  0.6628  0.0000  8 Tb 3.49-3.61, 3 Y 3.61-3.62, 1 Ac 3.64
Tb  0.0009  0.3371  0.0000  8 Tb 3.49-3.61, 3 Y 3.61-3.62, 1 Ac 3.64
Y  0.1709  0.6582  0.5000  2 Y 3.55, 8 Tb 3.55-3.69, 2 Ac 3.63
Y  0.5000  0.0000  0.5000  8 Tb 3.58-3.59, 4 Y 3.58
Ac  0.0000  0.0000  0.0000  4 Y 3.63, 8 Tb 3.64
Tb  0.4995  0.6680  0.5000  8 Tb 3.53-3.61, 4 Y 3.55-3.59
Tb  0.8283  0.0000  0.4999  8 Tb 3.53-3.61, 2 Ac 3.64, 2 Y 3.69
Y  0.3339  0.3322  0.0000  4 Y 3.55-3.58, 8 Tb 3.58-3.61
Tb  0.5006  0.3320  0.5000  8 Tb 3.53-3.61, 4 Y 3.55-3.59

Computed, not measured: AcTb2Y after structural relaxation at the PBE level of DFT.

Summary:
Fermi-level density of states: 5.62 states/eV/cell
ΔE to the lowest computed polymorph: 1 kJ/mol of formula units
total DFT energy (no corrections): -0.360 Ry/atom
ΔE_f: 55 meV/atom
space group: No. 166

Cell: 3.6971 3.6971 12.0286 Å, 81.16 81.16 60.00°
Last column: nearest neighbours and their distance in Å.
Element x y z (fractional)
Y  0.0000  0.0000  0.0000  6 Tb 3.56, 6 Y 3.70
Tb  0.7470  0.7470  0.7589  3 Y 3.56, 6 Tb 3.70, 3 Ac 3.73
Tb  0.2530  0.2530  0.2411  3 Y 3.56, 6 Tb 3.70, 3 Ac 3.73
Ac  0.5000  0.5000  0.5000  6 Ac 3.70, 6 Tb 3.73

Computed, not measured: AcTbY5 after structural relaxation at the PBE level of DFT.

Summary:
Fermi-level density of states: 22.07 states/eV/cell
total DFT energy (no corrections): -0.416 Ry/atom
ΔE_f: 202 meV/atom
space group: No. 15

Cell: 7.0920 8.6520 8.6519 Å, 98.84 102.30 102.30°
Last column: nearest neighbours and their distance in Å.
Element x y z (fractional)
Tb  0.5000  0.5000  0.5000  6 Y 3.33-3.70
Ac  0.2500  0.6543  0.8457  7 Y 3.45-3.71
Y  0.1399  0.7341  0.2775  7 Y 3.39-3.71, 1 Tb 3.70, 1 Ac 3.71
Y  0.4666  0.1026  0.3453  5 Y 3.31-3.67, 1 Tb 3.43, 1 Ac 3.45
Y  0.5334  0.8974  0.6547  5 Y 3.31-3.67, 1 Tb 3.43, 1 Ac 3.45
Tb  0.0000  0.0000  0.0000  6 Y 3.33-3.70
Y  0.0334  0.1547  0.3974  5 Y 3.31-3.67, 1 Tb 3.43, 1 Ac 3.45
Y  0.2500  0.3883  0.1117  2 Tb 3.33, 4 Y 3.43-3.71, 3 Ac 3.50-3.59
Y  0.8601  0.2659  0.7225  7 Y 3.39-3.71, 1 Tb 3.70, 1 Ac 3.71
Y  0.6399  0.7775  0.2341  7 Y 3.39-3.71, 1 Tb 3.70, 1 Ac 3.71
Y  0.3601  0.2225  0.7659  7 Y 3.39-3.71, 1 Tb 3.70, 1 Ac 3.71
Y  0.9666  0.8453  0.6026  5 Y 3.31-3.67, 1 Tb 3.43, 1 Ac 3.45
Y  0.7500  0.6117  0.8883  2 Tb 3.33, 4 Y 3.43-3.71, 3 Ac 3.50-3.59
Ac  0.7500  0.3457  0.1543  7 Y 3.45-3.71

Computed, not measured: Ac6Tb2Y after structural relaxation at the PBE level of DFT.

Summary:
Fermi-level density of states: 30.21 states/eV/cell
total DFT energy (no corrections): -0.318 Ry/atom
ΔE_f: 161 meV/atom
space group: No. 15

Cell: 7.7595 9.8972 9.8972 Å, 78.88 90.12 90.12°
Last column: nearest neighbours and their distance in Å.
Element x y z (fractional)
Ac  0.6108  0.1114  0.6531  2 Tb 3.63-3.79, 1 Y 3.79, 4 Ac 3.82-3.99
Tb  0.8915  0.8038  0.7944  1 Y 3.28, 4 Ac 3.54-3.63
Ac  0.6217  0.6148  0.1018  3 Tb 3.61-3.98, 1 Y 3.66, 5 Ac 3.77-3.99
Ac  0.8892  0.3469  0.8886  2 Tb 3.63-3.79, 1 Y 3.79, 4 Ac 3.82-3.99
Ac  0.1296  0.6069  0.5973  2 Tb 3.54-3.63, 8 Ac 3.64-3.94
Ac  0.6296  0.5973  0.6069  2 Tb 3.54-3.63, 8 Ac 3.64-3.94
Ac  0.3704  0.4027  0.3931  2 Tb 3.54-3.63, 8 Ac 3.64-3.94
Ac  0.1108  0.6531  0.1114  2 Tb 3.63-3.79, 1 Y 3.79, 4 Ac 3.82-3.99
Tb  0.3915  0.7944  0.8038  1 Y 3.28, 4 Ac 3.54-3.63
Ac  0.8783  0.8982  0.3852  3 Tb 3.61-3.98, 1 Y 3.66, 5 Ac 3.77-3.99
Tb  0.1085  0.1962  0.2056  1 Y 3.28, 4 Ac 3.54-3.63
Ac  0.3892  0.8886  0.3469  2 Tb 3.63-3.79, 1 Y 3.79, 4 Ac 3.82-3.99
Ac  0.8704  0.3931  0.4027  2 Tb 3.54-3.63, 8 Ac 3.64-3.94
Y  0.2500  0.0222  0.9778  2 Tb 3.28, 2 Ac 3.66
Y  0.7500  0.9778  0.0222  2 Tb 3.28, 2 Ac 3.66
Tb  0.6085  0.2056  0.1962  1 Y 3.28, 4 Ac 3.54-3.63
Ac  0.3783  0.3852  0.8982  3 Tb 3.61-3.98, 1 Y 3.66, 5 Ac 3.77-3.99
Ac  0.1217  0.1018  0.6148  3 Tb 3.61-3.98, 1 Y 3.66, 5 Ac 3.77-3.99

Computed, not measured: Ac7TbY2 after structural relaxation at the PBE level of DFT.

Summary:
Fermi-level density of states: 14.88 states/eV/cell
total DFT energy (no corrections): -0.293 Ry/atom
ΔE_f: 644 meV/atom
space group: No. 65

Cell: 6.0926 9.7082 9.7083 Å, 62.78 90.00 90.00°
Last column: nearest neighbours and their distance in Å.
Element x y z (fractional)
Ac  0.0000  0.7632  0.7632  2 Y 3.21
Ac  0.0000  0.2368  0.2368  2 Y 3.21
Y  0.5000  0.7023  0.7023  7 Ac 3.21-3.46
Tb  0.0000  0.0000  0.0000  10 Ac 3.93-4.10
Ac  0.5000  0.5000  0.5000  2 Y 3.35
Ac  0.5000  0.6944  0.0625  2 Y 3.46, 2 Ac 3.72-3.78
Ac  0.5000  0.9375  0.3056  2 Y 3.46, 2 Ac 3.72-3.78
Ac  0.5000  0.3056  0.9375  2 Y 3.46, 2 Ac 3.72-3.78
Ac  0.5000  0.0625  0.6944  2 Y 3.46, 2 Ac 3.72-3.78
Y  0.5000  0.2977  0.2977  7 Ac 3.21-3.46